Record 1
The following is a DFT calculation (PBE) of a relaxed Li4AgF5 crystal.

For the formation energy (no corrections), the calculation gives -2.51 eV/atom. The total energy is -45.0 eV/f.u. As for the space group: C2/m, No. 12. The value obtained for the size of the total moment is 0.02 μB/f.u.

Lattice parameters (Å, degrees): 2.8953 5.0772 7.7227 76.58 79.20 73.43
With the nearest neighbours (Å) after each atom.
Atoms (fractional coordinates):
Li (0.1733, 0.3862, 0.2671)  5 F 1.95-2.03
Li (0.3979, 0.7999, 0.4042)  6 F 2.03-2.15
Li (0.6021, 0.2001, 0.5958)  6 F 2.03-2.15
Li (0.8267, 0.6138, 0.7329)  5 F 1.95-2.03
F (0.4083, 0.3558, 0.8276)  3 Li 1.96-2.04
F (0.7874, 0.0917, 0.3334)  5 Li 2.03-2.15
F (0.5917, 0.6442, 0.1724)  3 Li 1.96-2.04
F (0.0000, 0.5000, 0.5000)  6 Li 1.95-2.09
F (0.2126, 0.9083, 0.6666)  5 Li 2.03-2.15
Ag (0.0000, 0.0000, 0.0000)  6 F 2.44-2.65

***

Record 2
The following is a DFT calculation (PBE) of a relaxed Mg2Sn2BRh4 crystal.

The value obtained for the energy of formation is -0.476 eV/atom. The total energy is -51.6 eV/f.u. As for the space group: I4/mmm, No. 139. The value obtained for the size of the total moment is 0.00 μB/f.u.

Lattice parameters (Å, degrees): 5.7671 5.7671 5.7671 93.96 117.74 117.74
With the nearest neighbours (Å) after each atom.
Atoms (fractional coordinates):
Rh (0.0000, 0.7578, 0.2422)  1 B 2.04
Rh (0.4844, 0.2422, 0.2422)  1 B 2.04
Rh (0.5156, 0.7578, 0.7578)  1 B 2.04
Rh (0.0000, 0.2422, 0.7578)  1 B 2.04
Sn (0.5000, 0.7500, 0.2500)  8 Rh 2.88, 4 Mg 3.00
Sn (0.5000, 0.2500, 0.7500)  8 Rh 2.88, 4 Mg 3.00
Mg (0.0000, 0.7065, 0.7065)  1 B 2.31
Mg (0.0000, 0.2935, 0.2935)  1 B 2.31
B (0.0000, 0.0000, 0.0000)  4 Rh 2.04

***

Record 3
The following is a DFT calculation (PBE) of a relaxed LiZnAsBr2 crystal.

For the formation energy (no corrections), the calculation gives -0.20 eV/atom. The total energy is -12.2 eV/f.u. As for the space group: P4/mmm, No. 123. The value obtained for the size of the total moment is 1.92 μB/f.u.

Lattice parameters (Å, degrees): 5.5301 5.5301 4.8292 90.00 90.00 90.00
With the nearest neighbours (Å) after each atom.
Atoms (fractional coordinates):
Zn (0.0000, 0.0000, 0.0000)  2 As 2.41
Li (0.5000, 0.5000, 0.5000)  8 Br 3.67, 4 As 3.91
Br (0.5000, 0.0000, 0.0000)  2 Zn 2.77
Br (0.0000, 0.5000, 0.0000)  2 Zn 2.77
As (0.0000, 0.0000, 0.5000)  2 Zn 2.41

***

Record 4
The following is a DFT calculation (PBE) of a relaxed Sb2AsRu crystal.

For the formation energy (no corrections), the calculation gives 0.19 eV/atom. The total energy is -21.4 eV/f.u. As for the space group: C2/m, No. 12. The value obtained for the size of the total moment is 0.00 μB/f.u.

Lattice parameters (Å, degrees): 3.6590 3.6590 7.6591 76.46 76.46 59.70
With the nearest neighbours (Å) after each atom.
Atoms (fractional coordinates):
Ru (0.7500, 0.7500, 0.7500)  6 Sb 2.71
Sb (0.4929, 0.4929, 0.5191)  3 Ru 2.71, 3 As 2.89-2.90
Sb (0.0071, 0.0071, 0.9809)  3 Ru 2.71, 3 As 2.89-2.90
As (0.2500, 0.2500, 0.2500)  6 Sb 2.89-2.90